a:
Compound: ZnAs2Cl
Source: Alexandria
Functional: PBE
Structure: relaxed

```
data_ZnAs2Cl
_chemical_formula_sum 'Zn4 As8 Cl4'
_space_group_name_H-M_alt 'F m -3 m'
_space_group_IT_number 225
_space_group_name_Hall '-F 4 2 3'
_cell_length_a 6.7097
_cell_length_b 6.7097
_cell_length_c 6.7097
_cell_angle_alpha 90.00
_cell_angle_beta 90.00
_cell_angle_gamma 90.00
loop_
_atom_site_label
_atom_site_fract_x
_atom_site_fract_y
_atom_site_fract_z
_atom_site_occupancy
Zn1 0.0000 0.0000 0.0000 1
As1 0.2500 0.2500 0.2500 1
Cl1 0.0000 0.0000 0.5000 1
```

Summary:
Crystal system: cubic
Fermi-level density of states in states/eV per atom: 0.39

---

b:
Compound: ZnAs2Cl
Source: Alexandria
Functional: PBE
Structure: relaxed

```
data_ZnAs2Cl
_chemical_formula_sum 'Zn1 As2 Cl1'
_space_group_name_H-M_alt 'P m m m'
_space_group_IT_number 47
_space_group_name_Hall '-P 2 2'
_cell_length_a 3.0695
_cell_length_b 4.8431
_cell_length_c 5.1261
_cell_angle_alpha 90.00
_cell_angle_beta 90.00
_cell_angle_gamma 90.00
loop_
_atom_site_label
_atom_site_fract_x
_atom_site_fract_y
_atom_site_fract_z
_atom_site_occupancy
Zn1 0.0000 0.0000 0.0000 1
As1 0.0000 0.5000 0.5000 1
As2 0.5000 0.5000 0.0000 1
Cl1 0.5000 0.0000 0.5000 1
```

Summary:
Crystal system: orthorhombic
Fermi-level density of states in states/eV per atom: 0.55

---

b ends up most stable, edging out the next structure by 152 meV/atom.

---

a:
Compound: Zn3AsCl
Source: Alexandria
Functional: PBE
Structure: relaxed

```
data_Zn3AsCl
_chemical_formula_sum 'Zn3 As1 Cl1'
_space_group_name_H-M_alt 'P m -3 m'
_space_group_IT_number 221
_space_group_name_Hall '-P 4 2 3'
_cell_length_a 5.0305
_cell_length_b 5.0305
_cell_length_c 5.0305
_cell_angle_alpha 90.00
_cell_angle_beta 90.00
_cell_angle_gamma 90.00
loop_
_atom_site_label
_atom_site_fract_x
_atom_site_fract_y
_atom_site_fract_z
_atom_site_occupancy
Zn1 0.0000 0.0000 0.5000 1
As1 0.0000 0.0000 0.0000 1
Cl1 0.5000 0.5000 0.5000 1
```

Summary:
Crystal system: cubic
Fermi-level density of states in states/eV per atom: 0.23

---

b:
Compound: Zn3AsCl
Source: Alexandria
Functional: PBE
Structure: relaxed

```
data_Zn3AsCl
_chemical_formula_sum 'Zn3 As1 Cl1'
_space_group_name_H-M_alt 'P m -3 m'
_space_group_IT_number 221
_space_group_name_Hall '-P 4 2 3'
_cell_length_a 4.8243
_cell_length_b 4.8243
_cell_length_c 4.8243
_cell_angle_alpha 90.00
_cell_angle_beta 90.00
_cell_angle_gamma 90.00
loop_
_atom_site_label
_atom_site_fract_x
_atom_site_fract_y
_atom_site_fract_z
_atom_site_occupancy
Zn1 0.0000 0.0000 0.5000 1
As1 0.5000 0.5000 0.5000 1
Cl1 0.0000 0.0000 0.0000 1
```

Summary:
Crystal system: cubic
Fermi-level density of states in states/eV per atom: 0.24

---

a ends up most stable, edging out the next structure by 583 meV/atom.

---

a:
Compound: ZnAs2Cl8
Source: Alexandria
Functional: PBE
Structure: relaxed

```
data_ZnAs2Cl8
_chemical_formula_sum 'Zn4 As8 Cl32'
_space_group_name_H-M_alt 'C 1 2/c 1'
_space_group_IT_number 15
_space_group_name_Hall '-C 2yc'
_cell_length_a 17.0564
_cell_length_b 8.5117
_cell_length_c 13.1460
_cell_angle_alpha 90.00
_cell_angle_beta 128.52
_cell_angle_gamma 90.00
loop_
_atom_site_label
_atom_site_fract_x
_atom_site_fract_y
_atom_site_fract_z
_atom_site_occupancy
Zn1 0.0000 0.1376 0.2500 1
As1 0.2099 0.4920 0.9680 1
Cl1 0.1092 0.0622 0.2279 1
Cl2 0.1176 0.3091 0.4662 1
Cl3 0.1193 0.4571 0.7574 1
Cl4 0.1493 0.3018 0.0153 1
```

Summary:
Crystal system: monoclinic
Fermi-level density of states in states/eV per atom: 0.00

---

b:
Compound: ZnAs2Cl8
Source: Alexandria
Functional: PBE
Structure: relaxed

```
data_ZnAs2Cl8
_chemical_formula_sum 'Zn2 As4 Cl16'
_space_group_name_H-M_alt 'C 1 2/m 1'
_space_group_IT_number 12
_space_group_name_Hall '-C 2y'
_cell_length_a 10.1539
_cell_length_b 11.1875
_cell_length_c 8.5623
_cell_angle_alpha 90.00
_cell_angle_beta 110.30
_cell_angle_gamma 90.00
loop_
_atom_site_label
_atom_site_fract_x
_atom_site_fract_y
_atom_site_fract_z
_atom_site_occupancy
Zn1 0.0000 0.0000 0.0000 1
As1 0.2028 0.0000 0.6464 1
Cl1 0.0691 0.5000 0.2883 1
Cl2 0.1782 0.0000 0.2184 1
Cl3 0.1801 0.1514 0.8026 1
```

Summary:
Crystal system: monoclinic
Fermi-level density of states in states/eV per atom: 0.00

---

a ends up most stable, edging out the next structure by 11 meV/atom.

---

a:
Compound: ZrAsCl3
Source: Alexandria
Functional: PBE
Structure: relaxed

```
data_ZrAsCl3
_chemical_formula_sum 'Zr1 As1 Cl3'
_space_group_name_H-M_alt 'P m -3 m'
_space_group_IT_number 221
_space_group_name_Hall '-P 4 2 3'
_cell_length_a 5.1151
_cell_length_b 5.1151
_cell_length_c 5.1151
_cell_angle_alpha 90.00
_cell_angle_beta 90.00
_cell_angle_gamma 90.00
loop_
_atom_site_label
_atom_site_fract_x
_atom_site_fract_y
_atom_site_fract_z
_atom_site_occupancy
Zr1 0.0000 0.0000 0.0000 1
As1 0.5000 0.5000 0.5000 1
Cl1 0.0000 0.0000 0.5000 1
```

Summary:
Crystal system: cubic
Fermi-level density of states in states/eV per atom: 0.45

---

b:
Compound: ZrAsCl3
Source: Alexandria
Functional: PBE
Structure: relaxed

```
data_ZrAsCl3
_chemical_formula_sum 'Zr1 As1 Cl3'
_space_group_name_H-M_alt 'P m -3 m'
_space_group_IT_number 221
_space_group_name_Hall '-P 4 2 3'
_cell_length_a 5.1281
_cell_length_b 5.1281
_cell_length_c 5.1281
_cell_angle_alpha 90.00
_cell_angle_beta 90.00
_cell_angle_gamma 90.00
loop_
_atom_site_label
_atom_site_fract_x
_atom_site_fract_y
_atom_site_fract_z
_atom_site_occupancy
Zr1 0.0000 0.0000 0.0000 1
As1 0.5000 0.5000 0.5000 1
Cl1 0.0000 0.5000 0.5000 1
```

Summary:
Crystal system: cubic
Fermi-level density of states in states/eV per atom: 1.05

---

a ends up most stable, edging out the next structure by 920 meV/atom.

---

a:
Compound: CoAs3
Source: Alexandria
Functional: PBE
Structure: relaxed

```
data_CoAs3
_chemical_formula_sum 'Co8 As24'
_space_group_name_H-M_alt 'I m -3'
_space_group_IT_number 204
_space_group_name_Hall '-I 2 2 3'
_cell_length_a 8.2693
_cell_length_b 8.2693
_cell_length_c 8.2693
_cell_angle_alpha 90.00
_cell_angle_beta 90.00
_cell_angle_gamma 90.00
loop_
_atom_site_label
_atom_site_fract_x
_atom_site_fract_y
_atom_site_fract_z
_atom_site_occupancy
Co1 0.2500 0.2500 0.2500 1
As1 0.0000 0.1520 0.3415 1
```

Summary:
Crystal system: cubic
Fermi-level density of states in states/eV per atom: 0.15

---

b:
Compound: CoAs3
Source: Alexandria
Functional: PBE
Structure: relaxed

```
data_CoAs3
_chemical_formula_sum 'Co4 As12'
_space_group_name_H-M_alt 'C m c m'
_space_group_IT_number 63
_space_group_name_Hall '-C 2c 2'
_cell_length_a 7.4384
_cell_length_b 8.0141
_cell_length_c 5.0297
_cell_angle_alpha 90.00
_cell_angle_beta 90.00
_cell_angle_gamma 90.00
loop_
_atom_site_label
_atom_site_fract_x
_atom_site_fract_y
_atom_site_fract_z
_atom_site_occupancy
Co1 0.0000 0.0076 0.2500 1
As1 0.0000 0.4879 0.2500 1
As2 0.2225 0.1928 0.7500 1
```

Summary:
Crystal system: orthorhombic
Fermi-level density of states in states/eV per atom: 0.50

---

c:
Compound: CoAs3
Source: Alexandria
Functional: PBE
Structure: relaxed

```
data_CoAs3
_chemical_formula_sum 'Co2 As6'
_space_group_name_H-M_alt 'I 4/m m m'
_space_group_IT_number 139
_space_group_name_Hall '-I 4 2'
_cell_length_a 4.2660
_cell_length_b 4.2660
_cell_length_c 7.1825
_cell_angle_alpha 90.00
_cell_angle_beta 90.00
_cell_angle_gamma 90.00
loop_
_atom_site_label
_atom_site_fract_x
_atom_site_fract_y
_atom_site_fract_z
_atom_site_occupancy
Co1 0.0000 0.0000 0.0000 1
As1 0.0000 0.0000 0.5000 1
As2 0.0000 0.5000 0.2500 1
```

Summary:
Crystal system: tetragonal
Fermi-level density of states in states/eV per atom: 0.74

---

d:
Compound: CoAs3
Source: Alexandria
Functional: PBE
Structure: relaxed

```
data_CoAs3
_chemical_formula_sum 'Co1 As3'
_space_group_name_H-M_alt 'P m -3 m'
_space_group_IT_number 221
_space_group_name_Hall '-P 4 2 3'
_cell_length_a 4.0510
_cell_length_b 4.0510
_cell_length_c 4.0510
_cell_angle_alpha 90.00
_cell_angle_beta 90.00
_cell_angle_gamma 90.00
loop_
_atom_site_label
_atom_site_fract_x
_atom_site_fract_y
_atom_site_fract_z
_atom_site_occupancy
Co1 0.0000 0.0000 0.0000 1
As1 0.0000 0.5000 0.5000 1
```

Summary:
Crystal system: cubic
Fermi-level density of states in states/eV per atom: 0.37

---

a ends up most stable, edging out the next structure by 582 meV/atom.

---

a:
Compound: CoAs3
Source: Alexandria
Functional: PBE
Structure: relaxed

```
data_CoAs3
_chemical_formula_sum 'Co2 As6'
_space_group_name_H-M_alt 'P 63 2 2'
_space_group_IT_number 182
_space_group_name_Hall 'P 6c 2c'
_cell_length_a 5.9929
_cell_length_b 5.9929
_cell_length_c 4.4606
_cell_angle_alpha 90.00
_cell_angle_beta 90.00
_cell_angle_gamma 120.00
loop_
_atom_site_label
_atom_site_fract_x
_atom_site_fract_y
_atom_site_fract_z
_atom_site_occupancy
Co1 0.3333 0.6667 0.2500 1
As1 0.0000 0.3210 0.0000 1
```

Summary:
Crystal system: hexagonal
Fermi-level density of states in states/eV per atom: 0.34

---

b:
Compound: CoAs3
Source: Alexandria
Functional: PBE
Structure: relaxed

```
data_CoAs3
_chemical_formula_sum 'Co1 As3'
_space_group_name_H-M_alt 'P -4 m 2'
_space_group_IT_number 115
_space_group_name_Hall 'P -4 -2'
_cell_length_a 3.5348
_cell_length_b 3.5348
_cell_length_c 5.7823
_cell_angle_alpha 90.00
_cell_angle_beta 90.00
_cell_angle_gamma 90.00
loop_
_atom_site_label
_atom_site_fract_x
_atom_site_fract_y
_atom_site_fract_z
_atom_site_occupancy
Co1 0.0000 0.0000 0.0000 1
As1 0.0000 0.5000 0.6796 1
As2 0.5000 0.5000 0.0000 1
```

Summary:
Crystal system: tetragonal
Fermi-level density of states in states/eV per atom: 0.58

---

c:
Compound: CoAs3
Source: Alexandria
Functional: PBE
Structure: relaxed

```
data_CoAs3
_chemical_formula_sum 'Co1 As3'
_space_group_name_H-M_alt 'P 4/m m m'
_space_group_IT_number 123
_space_group_name_Hall '-P 4 2'
_cell_length_a 2.8435
_cell_length_b 2.8435
_cell_length_c 8.4016
_cell_angle_alpha 90.00
_cell_angle_beta 90.00
_cell_angle_gamma 90.00
loop_
_atom_site_label
_atom_site_fract_x
_atom_site_fract_y
_atom_site_fract_z
_atom_site_occupancy
Co1 0.0000 0.0000 0.0000 1
As1 0.0000 0.0000 0.5000 1
As2 0.5000 0.5000 0.1810 1
```

Summary:
Crystal system: tetragonal
Fermi-level density of states in states/eV per atom: 0.46

---

a ends up most stable, edging out the next structure by 95 meV/atom.